No. 1
Pr7NdTl5 | the Alexandria database | PBE-GGA | relaxed; formation energy from the elements = -19.1 kJ per mole of atoms; density of states at the Fermi level = 13.61 states/eV per cell; total magnetic moment = 0.0 μB/cell; E = -52.630 eV/cell
1.0
6.861 0.000 0.000
3.431 7.869 0.154
3.431 0.129 7.870
Pr Tl Nd
7 5 1
Direct
0.001 0.663 0.334
0.630 0.370 0.370
0.518 0.793 0.171
0.518 0.171 0.793
0.001 0.334 0.663
0.277 0.223 0.223
0.300 0.700 0.700
0.518 0.478 0.998
0.005 0.478 0.998
0.746 0.754 0.754
0.005 0.998 0.478
0.518 0.998 0.478
0.962 0.038 0.038

---

No. 2
BeAg2Ru | the Alexandria database | PBE-GGA | relaxed; formation energy from the elements = 32.7 kJ per mole of atoms; density of states at the Fermi level = 2.85 states/eV per cell; total magnetic moment = 0.4 μB/cell; E = -17.348 eV/cell
1.0
-0.168 4.674 -2.465
-4.484 2.793 0.208
4.124 -2.211 2.460
Ru Be Ag
1 1 2
Direct
0.291 0.791 0.500
0.492 0.492 0.000
0.002 0.002 0.000
0.715 0.215 0.500

---

No. 3
Ca2ZnCuN | the Alexandria database | PBE-GGA | relaxed; density of states at the Fermi level = 3.27 states/eV per cell; energy relative to the lowest polymorph listed for this composition = 0.00 kcal/mol of atoms; energy relative to the elements, uncorrected = -1.63 eV per formula unit; total magnetic moment = 0.0 μB/cell; E = -19.328 eV/cell
1.0
4.971 0.000 0.000
0.000 4.971 0.000
0.000 0.000 3.833
Cu Ca Zn N
1 2 1 1
Direct
0.000 0.000 0.500
0.000 0.500 0.000
0.500 0.000 0.000
0.500 0.500 0.500
0.000 0.000 0.000

---

No. 4
LiTlCu2 | the Alexandria database | PBE-GGA | relaxed; formation energy from the elements = 4.1 kJ per mole of atoms; density of states at the Fermi level = 1.93 states/eV per cell; total magnetic moment = 0.0 μB/cell; E = -12.304 eV/cell
1.0
-1.945 1.497 3.681
-3.056 -2.460 2.044
0.915 -1.871 3.903
Tl Cu Li
1 2 1
Direct
0.750 0.750 0.750
0.250 0.250 0.250
0.000 0.000 0.000
0.500 0.500 0.500

---

No. 5
Pr2GeBRh6 | the Alexandria database | PBE-GGA | relaxed; formation energy from the elements = -57.6 kJ per mole of atoms; density of states at the Fermi level = 15.25 states/eV per cell; total magnetic moment = 0.0 μB/cell; E = -141.860 eV/cell
1.0
6.365 0.000 0.000
0.000 6.246 0.000
0.000 0.000 8.780
Rh Ge Pr B
12 2 4 2
Direct
0.286 0.454 0.500
0.500 0.214 0.735
0.714 0.454 0.500
0.764 0.998 0.500
0.236 0.998 0.500
0.000 0.786 0.235
0.264 0.002 0.000
0.786 0.546 0.000
0.500 0.214 0.265
0.736 0.002 0.000
0.214 0.546 0.000
0.000 0.786 0.765
0.500 0.309 0.000
0.000 0.691 0.500
0.500 0.739 0.254
0.000 0.261 0.246
0.000 0.261 0.754
0.500 0.739 0.746
0.000 0.810 0.000
0.500 0.190 0.500

---

No. 6
PaMnTl2Te4 | the Alexandria database | PBE-GGA | relaxed; density of states at the Fermi level = 4.92 states/eV per cell; energy relative to the elements, uncorrected = -3.62 eV per formula unit; total magnetic moment = 6.0 μB/cell; E = -39.584 eV/cell
1.0
4.303 0.000 0.000
0.000 7.480 0.162
0.000 -2.665 8.205
Pa Te Tl Mn
1 4 2 1
Direct
0.000 0.000 0.000
0.000 0.281 0.803
0.500 0.247 0.214
0.000 0.719 0.197
0.500 0.753 0.786
0.500 0.000 0.500
0.000 0.500 0.500
0.500 0.500 0.000

---

- Which of these has the lowest density of states at the Fermi level?
  LiTlCu2